Entry from the Alexandria database: an optimized crystal structure of Cs8Au2Se3 (GGA-PBE).

Results
Size of the total moment in μB per cell: 0.00
SG: P2/m (10)
Theoretical density in g/cm³: 4.167
E in eV/cell: -34.19

Unit cell a=10.8675 b=6.0424 c=10.8681 alpha=90.00 beta=108.92 gamma=90.00
Last column: nearest neighbours and their distance in Å.
Atoms (fractional coordinates):
Cs  0.1065  0.0000  0.3941  3 Se 3.56-3.98, 1 Cs 3.76
Cs  0.1201  0.5000  0.8418  3 Se 3.52-3.65, 1 Cs 3.92, 1 Au 3.93
Cs  0.3419  0.5000  0.6205  3 Se 3.52-3.65, 1 Cs 3.92, 1 Au 3.93
Cs  0.3799  0.0000  0.1202  2 Se 3.52, 2 Au 3.70
Cs  0.6201  0.0000  0.8798  2 Se 3.52, 2 Au 3.70
Cs  0.6581  0.5000  0.3795  3 Se 3.52-3.65, 1 Cs 3.92, 1 Au 3.93
Cs  0.8799  0.5000  0.1582  3 Se 3.52-3.65, 1 Cs 3.92, 1 Au 3.93
Cs  0.8935  0.0000  0.6059  3 Se 3.56-3.98, 1 Cs 3.76
Au  0.2598  0.5000  0.2408  8 Cs 3.70-4.10
Au  0.7402  0.5000  0.7592  8 Cs 3.70-4.10
Se  0.0000  0.5000  0.5000  8 Cs 3.52-3.56
Se  0.2781  0.0000  0.7783  6 Cs 3.52-3.65
Se  0.7219  0.0000  0.2217  6 Cs 3.52-3.65


Entry from the Alexandria database: an optimized crystal structure of CdRe2W (GGA-PBE).

Results
Size of the total moment in μB per cell: 0.00
SG: R-3m (166)
Theoretical density in g/cm³: 16.796
E in eV/cell: -37.23
DFT formation energy in eV per atom: 0.3832

Unit cell a=9.5561 b=9.5561 c=9.5561 alpha=17.14 beta=17.14 gamma=17.14
Last column: nearest neighbours and their distance in Å.
Atoms (fractional coordinates):
Cd  0.0000  0.0000  0.0000  6 Cd 2.85, 6 Re 3.01
Re  0.2440  0.2440  0.2440  3 W 2.73, 6 Re 2.85, 3 Cd 3.01
Re  0.7560  0.7560  0.7560  3 W 2.73, 6 Re 2.85, 3 Cd 3.01
W  0.5000  0.5000  0.5000  6 Re 2.73, 6 W 2.85


Entry from the Alexandria database: an optimized crystal structure of PmNpCuGe (GGA-PBE).

Results
Size of the total moment in μB per cell: 5.12
SG: F-43m (216)
Theoretical density in g/cm³: 9.500
E in eV/cell: -26.83
DFT formation energy in eV per atom: -0.1062

Unit cell a=5.0408 b=5.0408 c=5.0408 alpha=60.00 beta=60.00 gamma=60.00
Last column: nearest neighbours and their distance in Å.
Atoms (fractional coordinates):
Pm  0.0000  0.0000  0.0000  4 Ge 3.09, 4 Cu 3.09
Np  0.5000  0.5000  0.5000  4 Ge 3.09, 4 Cu 3.09
Cu  0.2500  0.2500  0.2500  4 Np 3.09, 4 Pm 3.09
Ge  0.7500  0.7500  0.7500  4 Pm 3.09, 4 Np 3.09


Entry from the Alexandria database: an optimized crystal structure of PrTm6In3 (GGA-PBE).

Results
Size of the total moment in μB per cell: 0.00
SG: Cmc2_1 (36)
Theoretical density in g/cm³: 8.313
E in eV/cell: -82.64
DFT formation energy in eV per atom: -0.1494

Unit cell a=8.9619 b=8.9619 c=7.4562 alpha=90.00 beta=90.00 gamma=89.92
Last column: nearest neighbours and their distance in Å.
Atoms (fractional coordinates):
Pr  0.2272  0.7728  0.5000  4 In 3.36-3.58, 3 Tm 3.57-3.63
Pr  0.7728  0.2272  0.0000  4 In 3.36-3.58, 3 Tm 3.57-3.63
Tm  0.0827  0.4906  0.8019  2 In 3.03-3.19, 1 Tm 3.37
Tm  0.1722  0.2346  0.4827  4 In 3.07-3.29, 3 Tm 3.40-3.44
Tm  0.2063  0.7937  0.0228  4 In 3.15-3.25, 5 Tm 3.37-3.46
Tm  0.2346  0.1722  0.9827  4 In 3.07-3.29, 3 Tm 3.40-3.44
Tm  0.4666  0.5334  0.8834  4 In 3.02-3.09
Tm  0.4906  0.0827  0.3019  2 In 3.03-3.19, 1 Tm 3.37
Tm  0.5094  0.9173  0.8019  2 In 3.03-3.19, 1 Tm 3.37
Tm  0.5334  0.4666  0.3834  4 In 3.02-3.09
Tm  0.7654  0.8278  0.4827  4 In 3.07-3.29, 3 Tm 3.40-3.44
Tm  0.7937  0.2063  0.5228  4 In 3.15-3.25, 5 Tm 3.37-3.46
Tm  0.8278  0.7654  0.9827  4 In 3.07-3.29, 3 Tm 3.40-3.44
Tm  0.9173  0.5094  0.3019  2 In 3.03-3.19, 1 Tm 3.37
In  0.0061  0.9939  0.7493  6 Tm 3.13-3.29, 2 Pr 3.36-3.50
In  0.2392  0.4707  0.1856  7 Tm 3.02-3.19
In  0.4707  0.2392  0.6856  7 Tm 3.02-3.19
In  0.5293  0.7608  0.1856  7 Tm 3.02-3.19
In  0.7608  0.5293  0.6856  7 Tm 3.02-3.19
In  0.9939  0.0061  0.2493  6 Tm 3.13-3.29, 2 Pr 3.36-3.50


Entry from the Alexandria database: an optimized crystal structure of GdPu2N (GGA-PBE).

Results
Size of the total moment in μB per cell: 19.30
SG: R-3m (166)
Theoretical density in g/cm³: 11.592
E in eV/cell: -52.80

Unit cell a=9.1364 b=9.1364 c=9.1364 alpha=22.07 beta=22.07 gamma=22.07
Last column: nearest neighbours and their distance in Å.
Atoms (fractional coordinates):
Gd  0.0000  0.0000  0.0000  6 Gd 3.50, 6 Pu 3.67
Pu  0.2186  0.2186  0.2186  3 N 2.45
Pu  0.7814  0.7814  0.7814  3 N 2.45
N  0.5000  0.5000  0.5000  6 Pu 2.45


Entry from the Alexandria database: an optimized crystal structure of LaAgCl (GGA-PBE).

Results
Size of the total moment in μB per cell: 0.00
SG: F-43m (216)
Theoretical density in g/cm³: 5.256
E in eV/cell: -11.93

Unit cell a=5.0145 b=5.0145 c=5.0145 alpha=60.00 beta=60.00 gamma=60.00
Last column: nearest neighbours and their distance in Å.
Atoms (fractional coordinates):
La  0.0000  0.0000  0.0000  4 Cl 3.07, 4 Ag 3.07
Ag  0.2500  0.2500  0.2500  4 La 3.07
Cl  0.7500  0.7500  0.7500  4 La 3.07


Entry from the Alexandria database: an optimized crystal structure of KRePb2 (GGA-PBE).

Results
Size of the total moment in μB per cell: 0.00
SG: Pm (6)
Theoretical density in g/cm³: 8.535
E in eV/cell: -18.25
DFT formation energy in eV per atom: 0.6789

Unit cell a=3.3780 b=4.3426 c=8.4847 alpha=90.00 beta=90.06 gamma=90.00
Last column: nearest neighbours and their distance in Å.
Atoms (fractional coordinates):
K  0.0000  0.0000  0.0000  2 K 3.38, 6 Pb 3.64-3.71
Re  0.0035  0.5000  0.5582  6 Pb 2.80-2.81
Pb  0.5019  0.5000  0.2932  2 Re 2.81
Pb  0.5036  0.0000  0.6195  4 Re 2.80


Entry from the Alexandria database: an optimized crystal structure of AcTcGe (GGA-PBE).

Results
Size of the total moment in μB per cell: 0.00
SG: P-6m2 (187)
Theoretical density in g/cm³: 8.870
E in eV/cell: -19.82
DFT formation energy in eV per atom: -0.2424

Unit cell a=4.3020 b=4.3020 c=4.6445 alpha=90.00 beta=90.00 gamma=120.00
Last column: nearest neighbours and their distance in Å.
Atoms (fractional coordinates):
Ac  0.0000  0.0000  0.0000  6 Tc 3.40, 6 Ge 3.40
Tc  0.3333  0.6667  0.5000  3 Ge 2.48
Ge  0.6667  0.3333  0.5000  3 Tc 2.48


Entry from the Alexandria database: an optimized crystal structure of SmHoTl2 (GGA-PBE).

Results
Size of the total moment in μB per cell: 0.00
SG: Fm-3m (225)
Theoretical density in g/cm³: 10.752
E in eV/cell: -15.44
DFT formation energy in eV per atom: -0.3529

Unit cell a=5.4077 b=5.4077 c=5.4077 alpha=60.00 beta=60.00 gamma=60.00
Last column: nearest neighbours and their distance in Å.
Atoms (fractional coordinates):
Sm  0.0000  0.0000  0.0000  8 Tl 3.31
Ho  0.5000  0.5000  0.5000  8 Tl 3.31
Tl  0.2500  0.2500  0.2500  4 Ho 3.31, 4 Sm 3.31
Tl  0.7500  0.7500  0.7500  4 Ho 3.31, 4 Sm 3.31


Entry from the Alexandria database: an optimized crystal structure of Ho3MgO (GGA-PBE).

Results
Size of the total moment in μB per cell: 0.00
SG: Pm-3m (221)
Theoretical density in g/cm³: 8.019
E in eV/cell: -26.24

Unit cell a=4.8032 b=4.8032 c=4.8032 alpha=90.00 beta=90.00 gamma=90.00
Last column: nearest neighbours and their distance in Å.
Atoms (fractional coordinates):
Ho  0.0000  0.0000  0.5000  2 O 2.40
Ho  0.0000  0.5000  0.0000  2 O 2.40
Ho  0.5000  0.0000  0.0000  2 O 2.40
Mg  0.5000  0.5000  0.5000  12 Ho 3.40
O  0.0000  0.0000  0.0000  6 Ho 2.40


Entry from the Alexandria database: an optimized crystal structure of La7Tb4Dy (GGA-PBE).

Results
Size of the total moment in μB per cell: 0.00
SG: P-1 (2)
Theoretical density in g/cm³: 7.004
E in eV/cell: -57.42
DFT formation energy in eV per atom: 0.0163

Unit cell a=6.4238 b=7.3799 c=9.1071 alpha=90.10 beta=103.52 gamma=90.03
Last column: nearest neighbours and their distance in Å.
Atoms (fractional coordinates):
La  0.0000  0.0000  0.0000  4 Tb 3.61-3.66, 6 La 3.65-3.71, 2 Dy 3.69
La  0.2213  0.4995  0.6664  6 La 3.63-3.71, 1 Dy 3.64, 5 Tb 3.66-3.73
La  0.2798  0.7508  0.3335  6 Tb 3.62-3.72, 1 Dy 3.65, 5 La 3.65-3.71
La  0.4999  0.2492  0.0024  3 Tb 3.61-3.67, 7 La 3.63-3.71, 2 Dy 3.70-3.71
La  0.5001  0.7508  0.9976  3 Tb 3.61-3.67, 7 La 3.63-3.71, 2 Dy 3.70-3.71
La  0.7202  0.2492  0.6665  6 Tb 3.62-3.72, 1 Dy 3.65, 5 La 3.65-3.71
La  0.7787  0.5005  0.3336  6 La 3.63-3.71, 1 Dy 3.64, 5 Tb 3.66-3.73
Tb  0.2211  0.9996  0.6648  4 Tb 3.62-3.70, 8 La 3.62-3.71
Tb  0.2760  0.2468  0.3309  8 La 3.61-3.73, 3 Tb 3.64-3.70, 1 Dy 3.64
Tb  0.7240  0.7532  0.6691  8 La 3.61-3.73, 3 Tb 3.64-3.70, 1 Dy 3.64
Tb  0.7789  0.0004  0.3352  4 Tb 3.62-3.70, 8 La 3.62-3.71
Dy  0.0000  0.5000  0.0000  2 Tb 3.64, 10 La 3.64-3.71


Entry from the Alexandria database: an optimized crystal structure of NdDyMgHg (GGA-PBE).

Results
Size of the total moment in μB per cell: 0.20
SG: F-43m (216)
Theoretical density in g/cm³: 8.033
E in eV/cell: -12.30
DFT formation energy in eV per atom: -0.2594

Unit cell a=5.3766 b=5.3766 c=5.3766 alpha=60.00 beta=60.00 gamma=60.00
Last column: nearest neighbours and their distance in Å.
Atoms (fractional coordinates):
Nd  0.0000  0.0000  0.0000  4 Mg 3.29, 4 Hg 3.29
Dy  0.5000  0.5000  0.5000  4 Hg 3.29, 4 Mg 3.29
Mg  0.7500  0.7500  0.7500  4 Nd 3.29, 4 Dy 3.29
Hg  0.2500  0.2500  0.2500  4 Dy 3.29, 4 Nd 3.29